Material: Tb2ErGa3AgPd2
Method: DFT, PBE
State: optimized geometry

Summary:
* uncorrected energy: -4.7570 eV/atom

a = 3.717 Å, b = 7.537 Å, c = 7.537 Å
α = 119.87°, β = 90.00°, γ = 90.00°
Atoms (fractional coordinates):
Ga1 0.500 0.001 0.270
Tb1 0.000 0.592 0.000
Ga2 0.500 0.270 0.001
Ga3 0.500 0.729 0.729
Tb2 0.000 0.000 0.592
Pd1 0.500 0.664 0.334
Pd2 0.500 0.334 0.664
Er1 0.000 0.407 0.407
Ag1 0.000 0.001 0.001